Record 1
Compound: SmGa2Au10
Source: Alexandria via LeMat-Bulk
Functional: PBE
Structure: optimized geometry

Computed properties:
magnetization: 0.00 μB/f.u.
calculated formation energy: -299 kJ/mol of formula units
SG: Fmmm

a b c (Å): 9.3882 7.3163 7.1319
angles (deg): 81.04 50.34 48.62
Last column: nearest neighbours and their distance in Å.
Positions (direct):
Sm: 0.0000 0.0000 0.0000  4 Au 3.12
Ga: 0.0000 0.5000 0.0000  8 Au 2.73-2.75, 2 Ga 2.85
Ga: 0.5000 0.0000 0.5000  8 Au 2.73-2.75, 2 Ga 2.85
Au: 0.0000 0.0000 0.5000  10 Au 2.80-2.95
Au: 0.0100 0.3316 0.6684  2 Ga 2.75, 5 Au 2.95-3.05
Au: 0.2828 0.4946 0.5054  2 Ga 2.73, 7 Au 2.77-3.05
Au: 0.3316 0.0100 0.9900  2 Ga 2.75, 5 Au 2.95-3.05
Au: 0.4946 0.2828 0.7172  2 Ga 2.73, 7 Au 2.77-3.05
Au: 0.5000 0.5000 0.0000  10 Au 2.80-2.95
Au: 0.5054 0.7172 0.2828  2 Ga 2.73, 7 Au 2.77-3.05
Au: 0.6684 0.9900 0.0100  2 Ga 2.75, 5 Au 2.95-3.05
Au: 0.7172 0.5054 0.4946  2 Ga 2.73, 7 Au 2.77-3.05
Au: 0.9900 0.6684 0.3316  2 Ga 2.75, 5 Au 2.95-3.05

---

Record 2
Compound: SmGa12Au4
Source: Alexandria via LeMat-Bulk
Functional: PBE
Structure: optimized geometry

Computed properties:
magnetization: 0.00 μB/f.u.
calculated formation energy: -270 kJ/mol of formula units
SG: Im-3

a b c (Å): 7.7554 7.7554 7.7554
angles (deg): 109.47 109.47 109.47
Last column: nearest neighbours and their distance in Å.
Positions (direct):
Sm: 0.0000 0.0000 0.0000  12 Ga 3.42
Ga: 0.1467 0.3531 0.4998  2 Au 2.59, 2 Ga 2.63
Ga: 0.1467 0.6469 0.7935  2 Au 2.59, 2 Ga 2.63
Ga: 0.2065 0.8533 0.3531  2 Au 2.59, 2 Ga 2.63
Ga: 0.3531 0.2065 0.8533  2 Au 2.59, 2 Ga 2.63
Ga: 0.3531 0.4998 0.1467  2 Au 2.59, 2 Ga 2.63
Ga: 0.4998 0.1467 0.3531  2 Au 2.59, 2 Ga 2.63
Ga: 0.5002 0.8533 0.6469  2 Au 2.59, 2 Ga 2.63
Ga: 0.6469 0.5002 0.8533  2 Au 2.59, 2 Ga 2.63
Ga: 0.6469 0.7935 0.1467  2 Au 2.59, 2 Ga 2.63
Ga: 0.7935 0.1467 0.6469  2 Au 2.59, 2 Ga 2.63
Ga: 0.8533 0.3531 0.2065  2 Au 2.59, 2 Ga 2.63
Ga: 0.8533 0.6469 0.5002  2 Au 2.59, 2 Ga 2.63
Au: 0.0000 0.0000 0.5000  6 Ga 2.59
Au: 0.0000 0.5000 0.0000  6 Ga 2.59
Au: 0.5000 0.0000 0.0000  6 Ga 2.59
Au: 0.5000 0.5000 0.5000  6 Ga 2.59

---

Record 3
Compound: Sm6Ga2Au
Source: Alexandria via LeMat-Bulk
Functional: PBE
Structure: optimized geometry

Computed properties:
magnetization: 0.00 μB/f.u.
calculated formation energy: -254 kJ/mol of formula units
energy above the lowest structure with this stoichiometry: 134 meV per atom
SG: C2/m

a b c (Å): 8.7644 8.7644 5.0236
angles (deg): 106.60 106.60 48.52
Last column: nearest neighbours and their distance in Å.
Positions (direct):
Sm: 0.0820 0.5858 0.3341  1 Au 3.09, 3 Ga 3.09-3.10
Sm: 0.2498 0.7502 0.0000  2 Au 3.09, 2 Ga 3.12
Sm: 0.4142 0.9180 0.6659  1 Au 3.09, 3 Ga 3.09-3.10
Sm: 0.5858 0.0820 0.3341  1 Au 3.09, 3 Ga 3.09-3.10
Sm: 0.7502 0.2498 0.0000  2 Au 3.09, 2 Ga 3.12
Sm: 0.9180 0.4142 0.6659  1 Au 3.09, 3 Ga 3.09-3.10
Ga: 0.3325 0.3325 0.8328  8 Sm 3.09-3.12
Ga: 0.6675 0.6675 0.1672  8 Sm 3.09-3.12
Au: 0.0000 0.0000 0.5000  8 Sm 3.09

---

Record 4
Compound: Sm2Ga3Au5
Source: Alexandria via LeMat-Bulk
Functional: PBE
Structure: optimized geometry

Computed properties:
magnetization: 0.00 μB/f.u.
calculated formation energy: -575 kJ/mol of formula units
energy above the lowest structure with this stoichiometry: 4 meV per atom
SG: Ibam

a b c (Å): 8.8073 8.8073 8.8073
angles (deg): 102.44 91.69 139.03
Last column: nearest neighbours and their distance in Å.
Positions (direct):
Sm: 0.1343 0.2269 0.3612  8 Au 3.12-3.37, 3 Ga 3.30-3.31
Sm: 0.3657 0.7269 0.0927  8 Au 3.12-3.37, 3 Ga 3.30-3.31
Sm: 0.6343 0.2731 0.9073  8 Au 3.12-3.37, 3 Ga 3.30-3.31
Sm: 0.8657 0.7731 0.6388  8 Au 3.12-3.37, 3 Ga 3.30-3.31
Ga: 0.1357 0.8822 0.0179  5 Au 2.49-2.62
Ga: 0.2500 0.7500 0.5000  6 Au 2.64-2.85
Ga: 0.3643 0.3822 0.7464  5 Au 2.49-2.62
Ga: 0.6357 0.6178 0.2536  5 Au 2.49-2.62
Ga: 0.7500 0.2500 0.5000  6 Au 2.64-2.85
Ga: 0.8643 0.1178 0.9821  5 Au 2.49-2.62
Au: 0.0181 0.7500 0.2681  3 Ga 2.59-2.85, 2 Au 2.85
Au: 0.0992 0.6601 0.7593  3 Ga 2.49-2.64
Au: 0.2500 0.2500 0.0000  4 Ga 2.62
Au: 0.4008 0.1601 0.5609  3 Ga 2.49-2.64
Au: 0.4819 0.7500 0.7319  3 Ga 2.59-2.85, 2 Au 2.85
Au: 0.5181 0.2500 0.2681  3 Ga 2.59-2.85, 2 Au 2.85
Au: 0.5992 0.8399 0.4391  3 Ga 2.49-2.64
Au: 0.7500 0.7500 0.0000  4 Ga 2.62
Au: 0.9008 0.3399 0.2407  3 Ga 2.49-2.64
Au: 0.9819 0.2500 0.7319  3 Ga 2.59-2.85, 2 Au 2.85

---

Record 5
Compound: Sm2Ga3Au
Source: Alexandria via LeMat-Bulk
Functional: PBE
Structure: optimized geometry

Computed properties:
magnetization: 0.00 μB/f.u.
calculated formation energy: -419 kJ/mol of formula units
SG: Pmm2

a b c (Å): 3.7282 4.5149 7.8046
angles (deg): 90.00 90.00 90.00
Last column: nearest neighbours and their distance in Å.
Positions (direct):
Sm: 0.0000 0.0000 0.0000  8 Ga 3.21-3.22, 4 Au 3.21
Sm: 0.0000 0.5000 0.4986  10 Ga 3.19-3.20, 2 Au 3.20
Ga: 0.5000 0.0000 0.3341  3 Ga 2.57-2.61
Ga: 0.5000 0.0000 0.6634  1 Ga 2.57, 2 Au 2.61
Ga: 0.5000 0.5000 0.1675  2 Ga 2.61, 1 Au 2.62
Au: 0.5000 0.5000 0.8316  3 Ga 2.61-2.62

---

Record 6
Compound: Sm3Ga4Au7
Source: Alexandria via LeMat-Bulk
Functional: PBE
Structure: optimized geometry

Computed properties:
magnetization: 0.00 μB/f.u.
calculated formation energy: -860 kJ/mol of formula units
SG: C2/m

a b c (Å): 8.5317 8.5317 9.4689
angles (deg): 123.00 123.00 30.16
Last column: nearest neighbours and their distance in Å.
Positions (direct):
Sm: 0.0000 0.0000 0.0000  10 Au 3.17-3.54, 6 Ga 3.18-3.49
Sm: 0.3155 0.3155 0.3202  5 Ga 3.14-3.44, 10 Au 3.18-3.48
Sm: 0.6845 0.6845 0.6798  5 Ga 3.14-3.44, 10 Au 3.18-3.48
Ga: 0.1285 0.1285 0.8454  6 Au 2.70-2.84
Ga: 0.3256 0.3256 0.6929  5 Au 2.55-2.71
Ga: 0.6744 0.6744 0.3071  5 Au 2.55-2.71
Ga: 0.8715 0.8715 0.1546  6 Au 2.70-2.84
Au: 0.0000 0.0000 0.5000  2 Ga 2.71, 2 Au 2.92
Au: 0.1406 0.1406 0.4047  3 Ga 2.58-2.71
Au: 0.3200 0.3200 0.9569  4 Ga 2.55-2.71, 1 Au 2.81
Au: 0.4989 0.4989 0.7228  3 Ga 2.71-2.84, 3 Au 2.81-2.92
Au: 0.5011 0.5011 0.2772  3 Ga 2.71-2.84, 3 Au 2.81-2.92
Au: 0.6800 0.6800 0.0431  4 Ga 2.55-2.71, 1 Au 2.81
Au: 0.8594 0.8594 0.5953  3 Ga 2.58-2.71

---

Record 7
Compound: SmGa12Au6
Source: Alexandria via LeMat-Bulk
Functional: PBE
Structure: optimized geometry

Computed properties:
magnetization: 0.00 μB/f.u.
calculated formation energy: -323 kJ/mol of formula units
SG: R-3m

a b c (Å): 7.5194 7.5194 7.5194
angles (deg): 105.03 105.03 105.03
Last column: nearest neighbours and their distance in Å.
Positions (direct):
Sm: 0.0000 0.0000 0.0000  6 Ga 3.22
Ga: 0.1086 0.5000 0.8914  3 Ga 2.59-2.89, 4 Au 2.63-2.77
Ga: 0.1086 0.8914 0.5000  3 Ga 2.59-2.89, 4 Au 2.63-2.77
Ga: 0.1422 0.3850 0.3850  4 Au 2.72-2.89, 4 Ga 2.89-2.90
Ga: 0.3850 0.1422 0.3850  4 Au 2.72-2.89, 4 Ga 2.89-2.90
Ga: 0.3850 0.3850 0.1422  4 Au 2.72-2.89, 4 Ga 2.89-2.90
Ga: 0.5000 0.1086 0.8914  3 Ga 2.59-2.89, 4 Au 2.63-2.77
Ga: 0.5000 0.8914 0.1086  3 Ga 2.59-2.89, 4 Au 2.63-2.77
Ga: 0.6150 0.6150 0.8578  4 Au 2.72-2.89, 4 Ga 2.89-2.90
Ga: 0.6150 0.8578 0.6150  4 Au 2.72-2.89, 4 Ga 2.89-2.90
Ga: 0.8578 0.6150 0.6150  4 Au 2.72-2.89, 4 Ga 2.89-2.90
Ga: 0.8914 0.1086 0.5000  3 Ga 2.59-2.89, 4 Au 2.63-2.77
Ga: 0.8914 0.5000 0.1086  3 Ga 2.59-2.89, 4 Au 2.63-2.77
Au: 0.2773 0.7124 0.7124  8 Ga 2.63-2.89
Au: 0.2876 0.2876 0.7227  8 Ga 2.63-2.89
Au: 0.2876 0.7227 0.2876  8 Ga 2.63-2.89
Au: 0.7124 0.2773 0.7124  8 Ga 2.63-2.89
Au: 0.7124 0.7124 0.2773  8 Ga 2.63-2.89
Au: 0.7227 0.2876 0.2876  8 Ga 2.63-2.89

---

Record 8
Compound: Sm3Ga8Au3
Source: Alexandria via LeMat-Bulk
Functional: PBE
Structure: optimized geometry

Computed properties:
magnetization: 0.00 μB/f.u.
calculated formation energy: -775 kJ/mol of formula units
energy above the lowest structure with this stoichiometry: 8 meV per atom
SG: Immm

a b c (Å): 8.3986 8.3986 8.3986
angles (deg): 149.77 109.69 78.41
Last column: nearest neighbours and their distance in Å.
Positions (direct):
Sm: 0.0000 0.0000 0.0000  12 Ga 3.27-3.29, 4 Au 3.56
Sm: 0.3074 0.3074 0.0000  10 Ga 3.13-3.47, 4 Au 3.22-3.33
Sm: 0.6926 0.6926 0.0000  10 Ga 3.13-3.47, 4 Au 3.22-3.33
Ga: 0.0327 0.6626 0.3701  4 Ga 2.51-2.70, 1 Au 2.62
Ga: 0.1387 0.8587 0.2800  3 Ga 2.64-2.70, 3 Au 2.81-2.86
Ga: 0.2925 0.6626 0.6299  4 Ga 2.51-2.70, 1 Au 2.62
Ga: 0.4214 0.1413 0.2800  3 Ga 2.64-2.70, 3 Au 2.81-2.86
Ga: 0.5786 0.8587 0.7200  3 Ga 2.64-2.70, 3 Au 2.81-2.86
Ga: 0.7075 0.3374 0.3701  4 Ga 2.51-2.70, 1 Au 2.62
Ga: 0.8613 0.1413 0.7200  3 Ga 2.64-2.70, 3 Au 2.81-2.86
Ga: 0.9673 0.3374 0.6299  4 Ga 2.51-2.70, 1 Au 2.62
Au: 0.2903 0.5000 0.7903  6 Ga 2.62-2.86
Au: 0.5000 0.0000 0.5000  4 Ga 2.81, 4 Au 2.99
Au: 0.7097 0.5000 0.2097  6 Ga 2.62-2.86

---

Record 9
Compound: SmGa4Au8
Source: Alexandria via LeMat-Bulk
Functional: PBE
Structure: optimized geometry

Computed properties:
magnetization: 0.00 μB/f.u.
calculated formation energy: -127 kJ/mol of formula units
SG: R-3m

a b c (Å): 7.6267 7.6267 7.6267
angles (deg): 55.25 55.25 55.25
Last column: nearest neighbours and their distance in Å.
Positions (direct):
Sm: 0.0000 0.0000 0.0000  6 Au 2.93
Ga: 0.0000 0.5000 0.5000  2 Au 2.57
Ga: 0.5000 0.0000 0.5000  2 Au 2.57
Ga: 0.5000 0.5000 0.0000  2 Au 2.57
Ga: 0.5000 0.5000 0.5000  6 Au 2.56
Au: 0.1447 0.7399 0.7399  1 Ga 2.56, 2 Au 2.86
Au: 0.2525 0.2525 0.2525  3 Ga 2.57
Au: 0.2601 0.2601 0.8553  1 Ga 2.56, 2 Au 2.86
Au: 0.2601 0.8553 0.2601  1 Ga 2.56, 2 Au 2.86
Au: 0.7399 0.1447 0.7399  1 Ga 2.56, 2 Au 2.86
Au: 0.7399 0.7399 0.1447  1 Ga 2.56, 2 Au 2.86
Au: 0.7475 0.7475 0.7475  3 Ga 2.57
Au: 0.8553 0.2601 0.2601  1 Ga 2.56, 2 Au 2.86

---

Record 10
Compound: Sm4Ga12Au
Source: Alexandria via LeMat-Bulk
Functional: PBE
Structure: optimized geometry

Computed properties:
magnetization: 0.00 μB/f.u.
calculated formation energy: -932 kJ/mol of formula units
SG: Im-3m

a b c (Å): 7.6045 7.6045 7.6045
angles (deg): 109.47 109.47 109.47
Last column: nearest neighbours and their distance in Å.
Positions (direct):
Sm: 0.0000 0.0000 0.5000  12 Ga 3.10-3.14
Sm: 0.0000 0.5000 0.0000  12 Ga 3.10-3.14
Sm: 0.5000 0.0000 0.0000  12 Ga 3.10-3.14
Sm: 0.5000 0.5000 0.5000  12 Ga 3.10-3.14
Ga: 0.0000 0.3043 0.3043  1 Au 2.67, 4 Ga 2.79
Ga: 0.0000 0.6957 0.6957  1 Au 2.67, 4 Ga 2.79
Ga: 0.2500 0.5000 0.7500  8 Ga 2.79-3.10, 4 Sm 3.10
Ga: 0.2500 0.7500 0.5000  8 Ga 2.79-3.10, 4 Sm 3.10
Ga: 0.3043 0.0000 0.3043  1 Au 2.67, 4 Ga 2.79
Ga: 0.3043 0.3043 0.0000  1 Au 2.67, 4 Ga 2.79
Ga: 0.5000 0.2500 0.7500  8 Ga 2.79-3.10, 4 Sm 3.10
Ga: 0.5000 0.7500 0.2500  8 Ga 2.79-3.10, 4 Sm 3.10
Ga: 0.6957 0.0000 0.6957  1 Au 2.67, 4 Ga 2.79
Ga: 0.6957 0.6957 0.0000  1 Au 2.67, 4 Ga 2.79
Ga: 0.7500 0.2500 0.5000  8 Ga 2.79-3.10, 4 Sm 3.10
Ga: 0.7500 0.5000 0.2500  8 Ga 2.79-3.10, 4 Sm 3.10
Au: 0.0000 0.0000 0.0000  6 Ga 2.67

---

Record 11
Compound: Sm2GaAu3
Source: Alexandria via LeMat-Bulk
Functional: PBE
Structure: optimized geometry

Computed properties:
magnetization: 0.00 μB/f.u.
calculated formation energy: -402 kJ/mol of formula units
energy above the lowest structure with this stoichiometry: 91 meV per atom
SG: Imm2

a b c (Å): 9.1220 9.1220 9.1220
angles (deg): 155.08 153.54 36.67
Last column: nearest neighbours and their distance in Å.
Positions (direct):
Sm: 0.0000 0.0000 0.0000  4 Au 3.09, 4 Ga 3.22
Sm: 0.7492 0.2492 0.5000  8 Au 3.15-3.22, 2 Ga 3.47
Ga: 0.5844 0.5844 0.0000  3 Au 2.51-2.60
Au: 0.1651 0.6651 0.5000  2 Ga 2.51, 1 Au 2.75
Au: 0.3241 0.8241 0.5000  3 Au 2.74-2.75
Au: 0.4340 0.4340 0.0000  1 Ga 2.60, 2 Au 2.74

---

Record 12
Compound: Sm2Ga5Au
Source: Alexandria via LeMat-Bulk
Functional: PBE
Structure: optimized geometry

Computed properties:
magnetization: 0.00 μB/f.u.
calculated formation energy: -420 kJ/mol of formula units
SG: I4mm

a b c (Å): 6.2085 6.2085 6.2085
angles (deg): 121.04 121.04 88.21
Last column: nearest neighbours and their distance in Å.
Positions (direct):
Sm: 0.0000 0.5000 0.5000  10 Ga 3.07-3.12, 2 Au 3.19
Sm: 0.5000 0.0000 0.5000  10 Ga 3.07-3.12, 2 Au 3.19
Ga: 0.0313 0.0313 0.0000  8 Ga 3.06-3.19, 4 Sm 3.07, 1 Au 3.28
Ga: 0.5233 0.5233 0.5493  1 Au 2.73, 2 Ga 2.75
Ga: 0.5233 0.9740 0.0000  1 Au 2.73, 2 Ga 2.75
Ga: 0.9740 0.5233 0.0000  1 Au 2.73, 2 Ga 2.75
Ga: 0.9740 0.9740 0.4507  1 Au 2.73, 2 Ga 2.75
Au: 0.3991 0.3991 0.0000  4 Ga 2.73

---

no.,E_tot (eV/cell)
1,-46.6
2,-56.9
3,-40.3
4,-81.7
5,-26.1
6,-58.1
7,-64.1
8,-56.2
9,-44.4
10,-68.1
11,-26.5
12,-32.2